## AlCd2Pb (PBE)

Data for a relaxed structure of AlCd2Pb.

Cell: 4.7211 4.7211 16.1795 Å, 90.00 90.00 120.00°
With the nearest neighbours (Å) after each atom.
Space group R3m (No. 160, hexagonal axes)
Asymmetric unit:
Al 0.0000 0.0000 0.0000 x3  6 Cd 2.79-3.02, 1 Pb 3.09
Cd 0.0000 0.0000 0.4130 x3  3 Al 3.02, 3 Pb 3.27, 3 Cd 3.32
Cd 0.0000 0.0000 0.6295 x3  3 Al 2.79
Pb 0.0000 0.0000 0.1910 x3  1 Al 3.09, 6 Cd 3.21-3.27

Results
Energy relative to the elements in eV/atom: 0.17
Calculated total energy in eV per atom: -2.15
Mass density in g cm⁻³: 7.32
Polymorph energy (0 for the lowest one) in eV per formula unit: 0.248